(1)
Material: Ti2Ga2Sn
Method: DFT, PBE
State: relaxed

a = 3.7226 Å, b = 3.7226 Å, c = 13.5289 Å
α = 90.00°, β = 90.00°, γ = 90.00°
Space group I4/mmm (No. 139)
Symmetry-distinct sites (fractional):
Ti1 0.0000 0.0000 0.0963
Ga1 0.0000 0.5000 0.2500
Sn1 0.0000 0.0000 0.5000

For the formation enthalpy at 0 K, the calculation gives -44 kJ/mol of formula units. The calculation puts the polymorph energy (0 for the lowest one) at 110 meV/atom. The magnetization is 0.000 μB per atom. The energy comes out at -26.3 eV/f.u. The value obtained for the theoretical density is 6269 kg/m3.

---

(2)
Material: Ti7Ga2Sn
Method: DFT, PBE
State: relaxed

a = 7.1490 Å, b = 12.6681 Å, c = 4.6616 Å
α = 90.00°, β = 90.00°, γ = 90.00°
Space group Cmmm (No. 65)
Symmetry-distinct sites (fractional):
Ti1 0.0000 0.0000 0.0000
Ti2 0.0000 0.2724 0.5000
Ti3 0.1769 0.3840 0.0000
Ga1 0.0000 0.2012 0.0000
Sn1 0.0000 0.5000 0.5000

For the formation enthalpy at 0 K, the calculation gives 308 kJ/mol of formula units. The magnetization is 0.000 μB per atom. The energy comes out at -62.1 eV/f.u. The value obtained for the theoretical density is 4667 kg/m3.

---

(3)
Material: Ti2Ga2Sn
Method: DFT, PBE
State: relaxed

a = 7.0093 Å, b = 7.0093 Å, c = 3.8423 Å
α = 90.00°, β = 90.00°, γ = 90.00°
Space group P4/mbm (No. 127)
Symmetry-distinct sites (fractional):
Ti1 0.1490 0.3510 0.0000
Ga1 0.1477 0.6477 0.5000
Sn1 0.0000 0.0000 0.0000

For the formation enthalpy at 0 K, the calculation gives -82 kJ/mol of formula units. The calculation puts the polymorph energy (0 for the lowest one) at 31 meV/atom. The magnetization is 0.000 μB per atom. The energy comes out at -26.7 eV/f.u. The value obtained for the theoretical density is 6226 kg/m3.

---

(4)
Material: Ti3GaSn
Method: DFT, PBE
State: relaxed

a = 5.0530 Å, b = 14.7486 Å, c = 5.2733 Å
α = 90.00°, β = 90.00°, γ = 90.00°
Space group Cmcm (No. 63)
Symmetry-distinct sites (fractional):
Ti1 0.0000 0.0000 0.0000
Ti2 0.2440 0.1547 0.2500
Ga1 0.0000 0.4788 0.2500
Sn1 0.0000 0.1714 0.7500

For the formation enthalpy at 0 K, the calculation gives -2 kJ/mol of formula units. The calculation puts the polymorph energy (0 for the lowest one) at 88 meV/atom. The magnetization is 0.000 μB per atom. The energy comes out at -30.7 eV/f.u. The value obtained for the theoretical density is 5612 kg/m3.

---

(5)
Material: Ti3GaSn
Method: DFT, PBE
State: relaxed

a = 4.9952 Å, b = 4.9952 Å, c = 4.9952 Å
α = 90.00°, β = 90.00°, γ = 90.00°
Space group Pm-3m (No. 221)
Symmetry-distinct sites (fractional):
Ti1 0.0000 0.0000 0.5000
Ga1 0.5000 0.5000 0.5000
Sn1 0.0000 0.0000 0.0000

For the formation enthalpy at 0 K, the calculation gives 443 kJ/mol of formula units. The calculation puts the polymorph energy (0 for the lowest one) at 1010 meV/atom. The magnetization is 0.204 μB per atom. The energy comes out at -26.1 eV/f.u. The value obtained for the theoretical density is 4424 kg/m3.

---

(6)
Material: TiGaSn3
Method: DFT, PBE
State: relaxed

a = 5.2209 Å, b = 5.2209 Å, c = 5.2209 Å
α = 90.00°, β = 90.00°, γ = 90.00°
Space group Pm-3m (No. 221)
Symmetry-distinct sites (fractional):
Ti1 0.0000 0.0000 0.0000
Ga1 0.5000 0.5000 0.5000
Sn1 0.0000 0.5000 0.5000

For the formation enthalpy at 0 K, the calculation gives 390 kJ/mol of formula units. The calculation puts the polymorph energy (0 for the lowest one) at 603 meV/atom. The magnetization is 0.000 μB per atom. The energy comes out at -18.9 eV/f.u. The value obtained for the theoretical density is 5528 kg/m3.

---

(7)
Material: Ti2Ga2Sn
Method: DFT, PBE
State: relaxed

a = 4.2174 Å, b = 4.2174 Å, c = 11.1311 Å
α = 90.00°, β = 90.00°, γ = 90.00°
Space group I4/mmm (No. 139)
Symmetry-distinct sites (fractional):
Ti1 0.0000 0.5000 0.2500
Ga1 0.0000 0.0000 0.1079
Sn1 0.0000 0.0000 0.5000

For the formation enthalpy at 0 K, the calculation gives 28 kJ/mol of formula units. The calculation puts the polymorph energy (0 for the lowest one) at 259 meV/atom. The magnetization is 0.000 μB per atom. The energy comes out at -25.6 eV/f.u. The value obtained for the theoretical density is 5936 kg/m3.

---

(8)
Material: Ti2Ga2Sn
Method: DFT, PBE
State: relaxed

a = 6.8753 Å, b = 6.8753 Å, c = 3.7340 Å
α = 90.00°, β = 90.00°, γ = 90.00°
Space group P4/mbm (No. 127)
Symmetry-distinct sites (fractional):
Ti1 0.1751 0.3249 0.0000
Ga1 0.1244 0.6244 0.5000
Sn1 0.0000 0.0000 0.5000

For the formation enthalpy at 0 K, the calculation gives -97 kJ/mol of formula units. The calculation puts the polymorph energy (0 for the lowest one) at 0 meV/atom. The magnetization is 0.148 μB per atom. The energy comes out at -26.8 eV/f.u. The value obtained for the theoretical density is 6659 kg/m3.

---

(9)
Material: Ti12GaSn6
Method: DFT, PBE
State: relaxed

a = 10.2114 Å, b = 10.2114 Å, c = 11.8627 Å
α = 90.00°, β = 90.00°, γ = 120.00°
Space group R-3 (No. 148, hexagonal axes)
Symmetry-distinct sites (fractional):
Ti1 0.0488 0.8692 0.3088
Ti2 0.0580 0.2006 0.9089
Ga1 0.0000 0.0000 0.5000
Sn1 0.0189 0.5930 0.2146

For the formation enthalpy at 0 K, the calculation gives -313 kJ/mol of formula units. The magnetization is 0.000 μB per atom. The energy comes out at -125.0 eV/f.u. The value obtained for the theoretical density is 6308 kg/m3.

---

(10)
Material: TiGa2Sn2
Method: DFT, PBE
State: relaxed

a = 7.4439 Å, b = 7.4439 Å, c = 3.9301 Å
α = 90.00°, β = 90.00°, γ = 90.00°
Space group P4/mbm (No. 127)
Symmetry-distinct sites (fractional):
Ti1 0.0000 0.0000 0.0000
Ga1 0.1578 0.3422 0.5000
Sn1 0.1479 0.6479 0.0000

For the formation enthalpy at 0 K, the calculation gives 75 kJ/mol of formula units. The calculation puts the polymorph energy (0 for the lowest one) at 104 meV/atom. The magnetization is 0.000 μB per atom. The energy comes out at -21.2 eV/f.u. The value obtained for the theoretical density is 6477 kg/m3.

---

(11)
Material: TiGaSn
Method: DFT, PBE
State: relaxed

a = 6.4242 Å, b = 6.4242 Å, c = 6.4242 Å
α = 90.00°, β = 90.00°, γ = 90.00°
Space group P2_13 (No. 198)
Symmetry-distinct sites (fractional):
Ti1 0.0359 0.4641 0.5359
Ga1 0.2255 0.7745 0.2745
Sn1 0.2196 0.2196 0.2196

For the formation enthalpy at 0 K, the calculation gives 12 kJ/mol of formula units. The calculation puts the polymorph energy (0 for the lowest one) at 94 meV/atom. The magnetization is 0.119 μB per atom. The energy comes out at -14.8 eV/f.u. The value obtained for the theoretical density is 5920 kg/m3.

---

(12)
Material: Ti5Ga2Sn
Method: DFT, PBE
State: relaxed

a = 6.9101 Å, b = 6.9101 Å, c = 11.6325 Å
α = 90.00°, β = 90.00°, γ = 90.00°
Space group I4/mcm (No. 140)
Symmetry-distinct sites (fractional):
Ti1 0.0000 0.0000 0.0000
Ti2 0.1550 0.3450 0.1528
Ga1 0.1407 0.3593 0.5000
Sn1 0.0000 0.0000 0.2500

For the formation enthalpy at 0 K, the calculation gives -282 kJ/mol of formula units. The magnetization is 0.000 μB per atom. The energy comes out at -52.5 eV/f.u. The value obtained for the theoretical density is 5949 kg/m3.

---

> Among the records above, which one has the highest magnetization?

number 5